Here is a geometry-optimized HfReNO structure from OQMD. Energies are from GGA-PBE.

abc: 3.217 5.845 5.522
angles: 90.00 90.00 90.00
Sites, in units of the cell vectors:
Hf (0.000, 0.130, 0.000)
Hf (0.000, 0.870, 0.500)
Re (0.500, 0.268, 0.570)
Re (0.500, 0.732, 0.070)
N (0.000, 0.229, 0.375)
N (0.000, 0.771, 0.875)
O (0.500, 0.377, 0.921)
O (0.500, 0.623, 0.421)

Computed properties:
excess energy over the best structure of this formula in the dataset = 611 meV/atom
DFT total energy = -0.364 Ha/atom

Here is a geometry-optimized HfSiNO structure from OQMD. Energies are from GGA-PBE.

abc: 6.288 6.705 4.615
angles: 90.00 90.00 90.00
Sites, in units of the cell vectors:
Hf (0.086, 0.167, 0.000)
Hf (0.414, 0.167, 0.500)
Hf (0.586, 0.833, 0.000)
Hf (0.914, 0.833, 0.500)
Si (0.168, 0.696, 0.000)
Si (0.332, 0.696, 0.500)
Si (0.668, 0.304, 0.000)
Si (0.832, 0.304, 0.500)
N (0.063, 0.146, 0.500)
N (0.437, 0.146, 0.000)
N (0.563, 0.854, 0.500)
N (0.937, 0.854, 0.000)
O (0.111, 0.459, 0.998)
O (0.389, 0.459, 0.498)
O (0.611, 0.541, 0.998)
O (0.889, 0.541, 0.498)

Computed properties:
excess energy over the best structure of this formula in the dataset = 0 meV/atom
DFT total energy = -0.321 Ha/atom

Here is a geometry-optimized HfSiNO structure from OQMD. Energies are from GGA-PBE.

abc: 3.278 3.278 8.502
angles: 90.00 90.00 90.00
Sites, in units of the cell vectors:
Hf (0.250, 0.250, 0.156)
Hf (0.750, 0.750, 0.844)
Si (0.250, 0.750, 0.500)
Si (0.750, 0.250, 0.500)
N (0.250, 0.250, 0.741)
N (0.750, 0.750, 0.259)
O (0.250, 0.750, 0.000)
O (0.750, 0.250, 0.000)

Computed properties:
excess energy over the best structure of this formula in the dataset = 471 meV/atom
DFT total energy = -0.303 Ha/atom

Here is a geometry-optimized HfSiNO structure from OQMD. Energies are from GGA-PBE.

abc: 2.949 5.809 5.793
angles: 90.00 90.00 90.00
Sites, in units of the cell vectors:
Hf (0.000, 0.188, 0.000)
Hf (0.000, 0.812, 0.500)
Si (0.500, 0.250, 0.533)
Si (0.500, 0.750, 0.033)
N (0.000, 0.169, 0.372)
N (0.000, 0.831, 0.872)
O (0.500, 0.460, 0.024)
O (0.500, 0.540, 0.524)

Computed properties:
excess energy over the best structure of this formula in the dataset = 99 meV/atom
DFT total energy = -0.317 Ha/atom

Here is a geometry-optimized HfSiNO structure from OQMD. Energies are from GGA-PBE.

abc: 3.543 4.775 6.152
angles: 90.00 90.00 90.00
Sites, in units of the cell vectors:
Hf (0.000, 0.105, 0.000)
Hf (0.000, 0.895, 0.500)
Si (0.500, 0.351, 0.335)
Si (0.500, 0.649, 0.835)
N (0.500, 0.367, 0.035)
N (0.500, 0.633, 0.535)
O (0.000, 0.228, 0.694)
O (0.000, 0.772, 0.194)

Computed properties:
excess energy over the best structure of this formula in the dataset = 142 meV/atom
DFT total energy = -0.315 Ha/atom

Here is a geometry-optimized HfSiNO structure from OQMD. Energies are from GGA-PBE.

abc: 4.245 4.245 4.855
angles: 90.00 90.00 90.00
Sites, in units of the cell vectors:
Hf (0.250, 0.750, 0.000)
Hf (0.750, 0.250, 0.000)
Si (0.250, 0.250, 0.474)
Si (0.750, 0.750, 0.526)
N (0.250, 0.250, 0.840)
N (0.750, 0.750, 0.160)
O (0.250, 0.750, 0.500)
O (0.750, 0.250, 0.500)

Computed properties:
excess energy over the best structure of this formula in the dataset = 377 meV/atom
DFT total energy = -0.307 Ha/atom

Here is a geometry-optimized SmHfNO structure from OQMD. Energies are from GGA-PBE.

abc: 7.888 6.646 4.712
angles: 90.00 90.00 90.00
Sites, in units of the cell vectors:
Sm (0.124, 0.051, 0.250)
Sm (0.124, 0.449, 0.750)
Sm (0.876, 0.551, 0.250)
Sm (0.876, 0.949, 0.750)
Hf (0.376, 0.595, 0.250)
Hf (0.376, 0.905, 0.750)
Hf (0.624, 0.095, 0.250)
Hf (0.624, 0.405, 0.750)
N (0.405, 0.586, 0.750)
N (0.405, 0.914, 0.250)
N (0.595, 0.086, 0.750)
N (0.595, 0.414, 0.250)
O (0.165, 0.096, 0.750)
O (0.165, 0.404, 0.250)
O (0.835, 0.596, 0.750)
O (0.835, 0.904, 0.250)

Computed properties:
excess energy over the best structure of this formula in the dataset = 0 meV/atom
DFT total energy = -0.333 Ha/atom

Here is a geometry-optimized SmHfNO structure from OQMD. Energies are from GGA-PBE.

abc: 3.865 6.502 5.218
angles: 90.00 90.00 90.00
Sites, in units of the cell vectors:
Sm (0.000, 0.157, 0.000)
Sm (0.000, 0.843, 0.500)
Hf (0.500, 0.325, 0.526)
Hf (0.500, 0.675, 0.026)
N (0.500, 0.374, 0.918)
N (0.500, 0.626, 0.418)
O (0.000, 0.215, 0.513)
O (0.000, 0.785, 0.013)

Computed properties:
excess energy over the best structure of this formula in the dataset = 80 meV/atom
DFT total energy = -0.330 Ha/atom

Here is a geometry-optimized SmHfNO structure from OQMD. Energies are from GGA-PBE.

abc: 4.492 4.492 6.099
angles: 90.00 90.00 90.00
Sites, in units of the cell vectors:
Sm (0.250, 0.750, 0.000)
Sm (0.750, 0.250, 0.000)
Hf (0.250, 0.250, 0.463)
Hf (0.750, 0.750, 0.537)
N (0.250, 0.250, 0.141)
N (0.750, 0.750, 0.859)
O (0.250, 0.750, 0.500)
O (0.750, 0.250, 0.500)

Computed properties:
excess energy over the best structure of this formula in the dataset = 282 meV/atom
DFT total energy = -0.323 Ha/atom

Here is a geometry-optimized SmHfNO structure from OQMD. Energies are from GGA-PBE.

abc: 4.027 6.088 5.380
angles: 90.00 90.00 90.00
Sites, in units of the cell vectors:
Sm (0.000, 0.181, 0.000)
Sm (0.000, 0.819, 0.500)
Hf (0.500, 0.280, 0.524)
Hf (0.500, 0.720, 0.024)
N (0.000, 0.202, 0.518)
N (0.000, 0.798, 0.018)
O (0.500, 0.407, 0.883)
O (0.500, 0.593, 0.383)

Computed properties:
excess energy over the best structure of this formula in the dataset = 74 meV/atom
DFT total energy = -0.331 Ha/atom

Here is a geometry-optimized SmHfNO structure from OQMD. Energies are from GGA-PBE.

abc: 4.218 4.218 8.249
angles: 90.00 90.00 90.00
Sites, in units of the cell vectors:
Sm (0.250, 0.250, 0.122)
Sm (0.750, 0.750, 0.878)
Hf (0.250, 0.750, 0.500)
Hf (0.750, 0.250, 0.500)
N (0.250, 0.250, 0.542)
N (0.750, 0.750, 0.458)
O (0.250, 0.750, 0.000)
O (0.750, 0.250, 0.000)

Computed properties:
excess energy over the best structure of this formula in the dataset = 116 meV/atom
DFT total energy = -0.329 Ha/atom

Here is a geometry-optimized HfTaNO3 structure from OQMD. Energies are from GGA-PBE.

abc: 3.212 5.539 6.450
angles: 90.00 90.00 90.00
Sites, in units of the cell vectors:
Hf (0.000, 0.021, 0.000)
Hf (0.500, 0.979, 0.500)
Ta (0.000, 0.483, 0.268)
Ta (0.500, 0.517, 0.768)
N (0.000, 0.698, 0.558)
N (0.500, 0.302, 0.058)
O (0.000, 0.099, 0.315)
O (0.000, 0.251, 0.736)
O (0.000, 0.629, 0.963)
O (0.500, 0.371, 0.463)
O (0.500, 0.749, 0.236)
O (0.500, 0.901, 0.815)

Computed properties:
excess energy over the best structure of this formula in the dataset = 194 meV/atom
DFT total energy = -0.367 Ha/atom

Here is a geometry-optimized HfTaNO3 structure from OQMD. Energies are from GGA-PBE.

abc: 3.509 3.557 5.228
angles: 90.00 90.00 90.00
Sites, in units of the cell vectors:
Hf (0.000, 0.000, 0.000)
Ta (0.500, 0.500, 0.521)
N (0.500, 0.000, 0.692)
O (0.000, 0.500, 0.331)
O (0.000, 0.500, 0.817)
O (0.500, 0.000, 0.202)

Computed properties:
excess energy over the best structure of this formula in the dataset = 114 meV/atom
DFT total energy = -0.370 Ha/atom

Here is a geometry-optimized HfTaNO3 structure from OQMD. Energies are from GGA-PBE.

abc: 5.037 5.095 5.268
angles: 90.00 99.19 90.00
Sites, in units of the cell vectors:
Hf (0.218, 0.000, 0.037)
Hf (0.782, 0.500, 0.963)
Ta (0.212, 0.408, 0.537)
Ta (0.788, 0.908, 0.463)
N (0.053, 0.695, 0.288)
N (0.947, 0.195, 0.712)
O (0.055, 0.709, 0.771)
O (0.424, 0.306, 0.900)
O (0.440, 0.151, 0.401)
O (0.560, 0.651, 0.599)
O (0.576, 0.806, 0.100)
O (0.945, 0.209, 0.229)

Computed properties:
excess energy over the best structure of this formula in the dataset = 0 meV/atom
DFT total energy = -0.374 Ha/atom

Here is a geometry-optimized TbHfNO structure from OQMD. Energies are from GGA-PBE.

abc: 4.666 3.860 6.655
angles: 90.00 90.00 90.00
Sites, in units of the cell vectors:
Tb (0.250, 0.000, 0.156)
Tb (0.750, 0.000, 0.844)
Hf (0.250, 0.500, 0.668)
Hf (0.750, 0.500, 0.332)
N (0.250, 0.500, 0.357)
N (0.750, 0.500, 0.643)
O (0.250, 0.000, 0.790)
O (0.750, 0.000, 0.210)

Computed properties:
excess energy over the best structure of this formula in the dataset = 49 meV/atom
DFT total energy = -0.333 Ha/atom

Here is a geometry-optimized TbHfNO structure from OQMD. Energies are from GGA-PBE.

abc: 4.457 4.457 5.956
angles: 90.00 90.00 90.00
Sites, in units of the cell vectors:
Tb (0.250, 0.750, 0.000)
Tb (0.750, 0.250, 0.000)
Hf (0.250, 0.250, 0.463)
Hf (0.750, 0.750, 0.537)
N (0.250, 0.250, 0.130)
N (0.750, 0.750, 0.870)
O (0.250, 0.750, 0.500)
O (0.750, 0.250, 0.500)

Computed properties:
excess energy over the best structure of this formula in the dataset = 281 meV/atom
DFT total energy = -0.324 Ha/atom

Here is a geometry-optimized TbHfNO structure from OQMD. Energies are from GGA-PBE.

abc: 7.780 6.568 4.659
angles: 90.00 90.00 90.00
Sites, in units of the cell vectors:
Tb (0.123, 0.054, 0.250)
Tb (0.123, 0.446, 0.750)
Tb (0.877, 0.554, 0.250)
Tb (0.877, 0.946, 0.750)
Hf (0.374, 0.595, 0.250)
Hf (0.374, 0.905, 0.750)
Hf (0.626, 0.095, 0.250)
Hf (0.626, 0.405, 0.750)
N (0.400, 0.581, 0.750)
N (0.400, 0.919, 0.250)
N (0.600, 0.081, 0.750)
N (0.600, 0.419, 0.250)
O (0.158, 0.099, 0.750)
O (0.158, 0.401, 0.250)
O (0.842, 0.599, 0.750)
O (0.842, 0.901, 0.250)

Computed properties:
excess energy over the best structure of this formula in the dataset = 0 meV/atom
DFT total energy = -0.334 Ha/atom

Here is a geometry-optimized TbHfNO structure from OQMD. Energies are from GGA-PBE.

abc: 4.169 4.169 8.174
angles: 90.00 90.00 90.00
Sites, in units of the cell vectors:
Tb (0.250, 0.250, 0.118)
Tb (0.750, 0.750, 0.882)
Hf (0.250, 0.750, 0.500)
Hf (0.750, 0.250, 0.500)
N (0.250, 0.250, 0.552)
N (0.750, 0.750, 0.448)
O (0.250, 0.750, 0.000)
O (0.750, 0.250, 0.000)

Computed properties:
excess energy over the best structure of this formula in the dataset = 142 meV/atom
DFT total energy = -0.329 Ha/atom

Here is a geometry-optimized TbHfNO structure from OQMD. Energies are from GGA-PBE.

abc: 4.166 5.954 4.811
angles: 90.00 90.00 90.00
Sites, in units of the cell vectors:
Tb (0.000, 0.186, 0.000)
Tb (0.000, 0.814, 0.500)
Hf (0.500, 0.279, 0.509)
Hf (0.500, 0.721, 0.009)
N (0.000, 0.225, 0.502)
N (0.000, 0.775, 0.002)
O (0.500, 0.370, 0.969)
O (0.500, 0.630, 0.469)

Computed properties:
excess energy over the best structure of this formula in the dataset = 92 meV/atom
DFT total energy = -0.331 Ha/atom

Here is a geometry-optimized HfTeNO structure from OQMD. Energies are from GGA-PBE.

abc: 3.241 6.938 6.806
angles: 90.00 90.00 90.00
Sites, in units of the cell vectors:
Hf (0.000, 0.131, 0.000)
Hf (0.000, 0.869, 0.500)
Te (0.500, 0.253, 0.491)
Te (0.500, 0.747, 0.991)
N (0.000, 0.107, 0.694)
N (0.000, 0.893, 0.194)
O (0.500, 0.281, 0.051)
O (0.500, 0.719, 0.551)

Computed properties:
excess energy over the best structure of this formula in the dataset = 210 meV/atom
DFT total energy = -0.286 Ha/atom